Material: Ba2SbTe2
Method: DFT, PBE
State: relaxed

Results
total moment: 0.000 μB/atom
formation energy from raw total energies: -1112 meV per atom
theoretical density: 5.63 g/cm³
N(E_F): 5.89 states/eV per cell
total DFT energy (no corrections): -19.8 eV/f.u.
excess energy over the best structure of this formula in the dataset: 0 meV/atom
crystal system: tetragonal

Unit cell a=9.0482 b=9.0482 c=4.6958 alpha=90.00 beta=90.00 gamma=90.00
With the nearest neighbours (Å) after each atom.
Space group P4/mbm (No. 127)
Symmetry-distinct sites (fractional):
Ba 0.1577 0.3423 0.0000 [4 per cell]  6 Te 3.36-3.67
Sb 0.0000 0.0000 0.5000 [2 per cell]  4 Te 3.43
Te 0.1541 0.6541 0.5000 [4 per cell]  6 Ba 3.36-3.67, 2 Sb 3.43